[1]
Ac4Te2N2O | PBE | optimized geometry

## Properties
formation energy (no corrections): -1545 kJ/mol of formula units
volume: 487 Å³/cell

Geometry as CIF:
```
data_Ac4Te2N2O
_chemical_formula_sum 'Ac8 Te4 N4 O2'
_symmetry_space_group_name_H-M 'C 1 2/m 1'
_symmetry_Int_Tables_number 12
_symmetry_space_group_name_Hall '-C 2y'
_cell_length_a 15.8041
_cell_length_b 4.1748
_cell_length_c 7.6910
_cell_angle_alpha 90.00
_cell_angle_beta 106.50
_cell_angle_gamma 90.00
loop_
_atom_site_label
_atom_site_type_symbol
_atom_site_fract_x
_atom_site_fract_y
_atom_site_fract_z
_atom_site_occupancy
Ac1 Ac 0.0250 0.0000 0.2899 1
Ac2 Ac 0.2108 0.5000 0.6687 1
Te1 Te 0.1263 0.5000 0.0411 1
N1 N 0.1676 0.0000 0.4910 1
O1 O 0.0000 0.5000 0.5000 1
```

---

[2]
Ac2SmZn2Pd7 | PBE | optimized geometry

## Properties
formation enthalpy at 0 K: -8.51 eV/f.u.
volume: 501 Å³/cell
Fermi-level density of states: 8.40 states/eV per cell

Geometry as CIF:
```
data_Ac2SmZn2Pd7
_chemical_formula_sum 'Ac4 Sm2 Zn4 Pd14'
_symmetry_space_group_name_H-M 'C 1 2/m 1'
_symmetry_Int_Tables_number 12
_symmetry_space_group_name_Hall '-C 2y'
_cell_length_a 6.0630
_cell_length_b 5.9855
_cell_length_c 13.9699
_cell_angle_alpha 90.00
_cell_angle_beta 98.46
_cell_angle_gamma 90.00
loop_
_atom_site_label
_atom_site_type_symbol
_atom_site_fract_x
_atom_site_fract_y
_atom_site_fract_z
_atom_site_occupancy
Ac1 Ac 0.1089 0.0000 0.3487 1
Sm1 Sm 0.0000 0.0000 0.0000 1
Zn1 Zn 0.0810 0.5000 0.2484 1
Pd1 Pd 0.0000 0.5000 0.0000 1
Pd2 Pd 0.1377 0.5000 0.4311 1
Pd3 Pd 0.2014 0.2496 0.8511 1
```

---

[3]
NdAlPdPt | PBE | optimized geometry

## Properties
formation enthalpy at 0 K: -3.96 eV/f.u.
volume: 163 Å³/cell
Fermi-level density of states: 5.07 states/eV per cell

Geometry as CIF:
```
data_NdAlPdPt
_chemical_formula_sum 'Nd2 Al2 Pd2 Pt2'
_symmetry_space_group_name_H-M 'C 1 m 1'
_symmetry_Int_Tables_number 8
_symmetry_space_group_name_Hall 'C -2y'
_cell_length_a 7.5923
_cell_length_b 4.3895
_cell_length_c 5.5064
_cell_angle_alpha 90.00
_cell_angle_beta 117.21
_cell_angle_gamma 90.00
loop_
_atom_site_label
_atom_site_type_symbol
_atom_site_fract_x
_atom_site_fract_y
_atom_site_fract_z
_atom_site_occupancy
Nd1 Nd 0.0000 0.0000 0.0000 1
Al1 Al 0.4931 0.0000 0.4797 1
Pd1 Pd 0.2111 0.0000 0.6338 1
Pt1 Pt 0.2893 0.5000 0.3681 1
```

---

[4]
LiEuSn | PBE | optimized geometry

## Properties
formation enthalpy at 0 K: -1.14 eV/f.u.
volume: 161 Å³/cell
Fermi-level density of states: 13.12 states/eV per cell

Geometry as CIF:
```
data_LiEuSn
_chemical_formula_sum 'Li2 Eu2 Sn2'
_symmetry_space_group_name_H-M 'I 4 m m'
_symmetry_Int_Tables_number 107
_symmetry_space_group_name_Hall 'I 4 -2'
_cell_length_a 3.7566
_cell_length_b 3.7566
_cell_length_c 11.4073
_cell_angle_alpha 90.00
_cell_angle_beta 90.00
_cell_angle_gamma 90.00
loop_
_atom_site_label
_atom_site_type_symbol
_atom_site_fract_x
_atom_site_fract_y
_atom_site_fract_z
_atom_site_occupancy
Li1 Li 0.0000 0.0000 0.0000 1
Eu1 Eu 0.0000 0.0000 0.7054 1
Sn1 Sn 0.0000 0.0000 0.3957 1
```

---

[5]
Mo2IrOs | PBE | optimized geometry

## Properties
formation enthalpy at 0 K: 1.43 eV/f.u.
volume: 247 Å³/cell
Fermi-level density of states: 28.96 states/eV per cell

Geometry as CIF:
```
data_Mo2IrOs
_chemical_formula_sum 'Mo8 Ir4 Os4'
_symmetry_space_group_name_H-M 'F m -3 m'
_symmetry_Int_Tables_number 225
_symmetry_space_group_name_Hall '-F 4 2 3'
_cell_length_a 6.2716
_cell_length_b 6.2716
_cell_length_c 6.2716
_cell_angle_alpha 90.00
_cell_angle_beta 90.00
_cell_angle_gamma 90.00
loop_
_atom_site_label
_atom_site_type_symbol
_atom_site_fract_x
_atom_site_fract_y
_atom_site_fract_z
_atom_site_occupancy
Mo1 Mo 0.2500 0.2500 0.2500 1
Ir1 Ir 0.0000 0.0000 0.0000 1
Os1 Os 0.0000 0.0000 0.5000 1
```

---

[6]
Pm2Ga6Os | PBE | optimized geometry

## Properties
formation enthalpy at 0 K: -1.23 eV/f.u.
volume: 193 Å³/cell
Fermi-level density of states: 7.03 states/eV per cell

Geometry as CIF:
```
data_Pm2Ga6Os
_chemical_formula_sum 'Pm2 Ga6 Os1'
_symmetry_space_group_name_H-M 'P -6 2 m'
_symmetry_Int_Tables_number 189
_symmetry_space_group_name_Hall 'P -6 -2'
_cell_length_a 8.1567
_cell_length_b 8.1567
_cell_length_c 3.3411
_cell_angle_alpha 90.00
_cell_angle_beta 90.00
_cell_angle_gamma 120.00
loop_
_atom_site_label
_atom_site_type_symbol
_atom_site_fract_x
_atom_site_fract_y
_atom_site_fract_z
_atom_site_occupancy
Pm1 Pm 0.3333 0.6667 0.0000 1
Ga1 Ga 0.0000 0.3219 0.5000 1
Ga2 Ga 0.0000 0.7540 0.0000 1
Os1 Os 0.0000 0.0000 0.5000 1
```